Density functional theory data (PBE-GGA) for a relaxed LaBiF crystal.

```
LaBiF
1.0
-4.0752 -1.4227 -0.4365
0.0077 -5.7994 -2.5933
1.3256 -5.2182 4.7221
Bi F La
2 2 2
Cartesian
-2.5762 -2.8027 0.8112
-1.7744 -5.4824 2.0774
-2.7771 -9.1981 2.0998
-1.5658 -4.8867 -1.8043
-0.5986 -8.5151 1.1036
-3.7443 -5.5694 -0.8082
```

Computed properties:
E_tot (eV/atom): -5.75
Density of states at the Fermi level (states/eV/f.u.): 0.579

Density functional theory data (PBE-GGA) for a relaxed CaNd5Pb4 crystal.

```
CaNd5Pb4
1.0
3.7418 0.0000 0.0000
0.0000 10.0008 0.9397
-1.8709 -0.5860 8.9898
Nd Pb Ca
5 4 1
Cartesian
0.0000 3.6933 3.7728
1.8709 5.7215 6.1566
1.8709 1.8886 6.4705
1.8709 5.0004 0.4698
0.0000 7.5262 3.4590
0.0000 8.8669 6.6060
1.8709 7.0287 9.1280
0.0000 2.3861 0.8015
1.8709 0.5478 3.3235
1.8709 0.0000 0.0000
```

Computed properties:
Energy of formation (eV/atom): -0.22
Density of states at the Fermi level (states/eV/f.u.): 11.349

Density functional theory data (PBE-GGA) for a relaxed Zr2BHRu crystal.

```
Zr2BHRu
1.0
4.7715 0.0000 0.0000
0.0000 3.1597 0.0000
0.0000 0.0000 4.7715
Zr H Ru B
2 1 1 1
Cartesian
2.3858 0.0000 0.0000
0.0000 0.0000 2.3858
0.0000 1.5799 0.0000
2.3858 1.5799 2.3858
0.0000 0.0000 0.0000
```

Computed properties:
E_tot (eV/atom): -7.08
Density of states at the Fermi level (states/eV/f.u.): 4.152

Density functional theory data (PBE-GGA) for a relaxed ZrTaNiBi2 crystal.

```
ZrTaNiBi2
1.0
-2.3600 -4.8440 0.3539
3.0905 -1.7754 -3.6907
3.6069 -1.4845 3.7345
Ni Bi Zr Ta
1 2 1 1
Cartesian
2.1687 -4.0519 0.1988
-1.1800 -2.4220 0.1770
1.8034 -0.7422 1.8672
1.5453 -0.8877 -1.8453
0.0000 0.0000 0.0000
```

Computed properties:
Energy of formation (eV/atom): 1.16
Density of states at the Fermi level (states/eV/f.u.): 4.903

Density functional theory data (PBE-GGA) for a relaxed ZnCdO2 crystal.

```
ZnCdO2
1.0
-0.2136 0.9036 5.7820
4.9717 -3.0242 0.6562
3.8571 1.3013 2.9047
Cd O Zn
2 4 2
Cartesian
3.1181 0.1205 3.0619
5.4971 -0.9398 6.2811
1.4235 -0.2302 4.9617
3.3346 -1.8904 1.4766
3.9400 -1.8717 4.4616
0.8182 -0.2488 1.9767
3.0113 0.5723 5.9529
5.6039 -1.3916 3.3900
```

Computed properties:
E_tot (eV/atom): -3.93
Density of states at the Fermi level (states/eV/f.u.): 0.496

Density functional theory data (PBE-GGA) for a relaxed Ce3GaPt crystal.

```
Ce3GaPt
1.0
-0.1852 5.3247 1.0224
-5.1687 -3.2655 1.6767
6.0829 -0.9935 6.2760
Ce Pt Ga
6 2 2
Cartesian
-3.5627 -0.5272 2.1002
0.3854 -0.4802 2.5708
2.3447 -0.7888 4.5326
0.3435 1.5460 6.4043
-1.6157 1.8545 4.4425
4.2916 1.5929 6.8750
-3.9359 2.1438 2.5154
4.6648 -1.0781 6.4597
1.6333 2.1320 3.5858
-0.9044 -1.0663 5.3893
```

Computed properties:
Energy of formation (eV/atom): -0.57
Density of states at the Fermi level (states/eV/f.u.): 12.055

| no. | total magnetic moment (μB per formula unit) |
| --- | --- |
| 1 | 0.00 |
| 2 | 0.00 |
| 3 | 0.00 |
| 4 | 0.24 |
| 5 | 0.00 |
| 6 | 1.26 |